No. 1
Density functional theory data (PBE-GGA) for Ce2InSn2 after structural relaxation.

Structure (POSCAR):
```
Ce2InSn2
1.0
7.885 0.000 0.000
0.000 7.885 0.000
0.000 0.000 4.618
Ce In Sn
4 2 4
direct
0.173 0.327 0.000
0.327 0.827 0.000
0.673 0.173 0.000
0.827 0.673 0.000
0.000 0.000 0.500
0.500 0.500 0.500
0.131 0.631 0.500
0.369 0.131 0.500
0.631 0.869 0.500
0.869 0.369 0.500
```

Results
* volume: 287.1 Å³ per cell
* space group: No. 127
* energy: -5.032 eV per atom

***

No. 2
Density functional theory data (PBE-GGA) for Ce2InSn4 after structural relaxation.

Structure (POSCAR):
```
Ce2InSn4
1.0
9.255 0.000 0.000
0.000 9.366 0.000
0.000 0.000 4.608
Ce In Sn
4 2 8
direct
0.000 0.250 0.000
0.000 0.750 0.000
0.500 0.250 0.000
0.500 0.750 0.000
0.000 0.000 0.500
0.500 0.500 0.500
0.241 0.500 0.000
0.250 0.250 0.500
0.250 0.750 0.500
0.259 0.000 0.000
0.741 0.000 0.000
0.750 0.250 0.500
0.750 0.750 0.500
0.759 0.500 0.000
```

Results
* volume: 399.4 Å³ per cell
* space group: No. 65
* energy: -4.844 eV per atom
* offset from the most stable computed form: 0.0 meV/atom

***

No. 3
Density functional theory data (PBE-GGA) for Ce2InSn after structural relaxation.

Structure (POSCAR):
```
Ce2InSn
1.0
4.165 0.000 0.000
0.000 4.165 0.000
0.000 0.000 6.438
Ce In Sn
2 1 1
direct
0.000 0.000 0.234
0.000 0.000 0.766
0.500 0.500 0.500
0.500 0.500 0.000
```

Results
* volume: 111.7 Å³ per cell
* space group: No. 123
* energy: -5.129 eV per atom

***

No. 4
Density functional theory data (PBE-GGA) for CeInSn2 after structural relaxation.

Structure (POSCAR):
```
CeInSn2
1.0
4.005 0.000 0.000
0.000 4.005 0.000
0.000 0.000 6.776
Ce In Sn
1 1 2
direct
0.000 0.000 0.000
0.000 0.000 0.500
0.500 0.500 0.272
0.500 0.500 0.728
```

Results
* volume: 108.7 Å³ per cell
* space group: No. 123
* energy: -4.473 eV per atom

***

No. 5
Density functional theory data (PBE-GGA) for Ce4In5Sn after structural relaxation.

Structure (POSCAR):
```
Ce4In5Sn
1.0
5.817 0.000 0.000
1.835 6.497 0.000
1.958 1.176 7.178
Ce In Sn
4 5 1
direct
0.115 0.390 0.312
0.307 0.198 0.889
0.693 0.802 0.111
0.885 0.610 0.688
0.095 0.906 0.297
0.291 0.699 0.905
0.500 0.000 0.500
0.709 0.301 0.095
0.905 0.094 0.703
0.500 0.500 0.500
```

Results
* volume: 271.3 Å³ per cell
* space group: No. 2
* energy: -4.521 eV per atom

***

No. 6
Density functional theory data (PBE-GGA) for Ce2InSn4 after structural relaxation.

Structure (POSCAR):
```
Ce2InSn4
1.0
5.524 0.000 0.000
0.000 5.524 0.000
0.000 0.000 15.582
Ce In Sn
4 2 8
direct
0.000 0.000 0.119
0.000 0.000 0.881
0.500 0.500 0.381
0.500 0.500 0.619
0.000 0.000 0.500
0.500 0.500 0.000
0.000 0.000 0.320
0.000 0.000 0.680
0.000 0.500 0.000
0.000 0.500 0.500
0.500 0.000 0.000
0.500 0.000 0.500
0.500 0.500 0.180
0.500 0.500 0.820
```

Results
* volume: 475.5 Å³ per cell
* space group: No. 139
* energy: -4.274 eV per atom
* offset from the most stable computed form: 569.9 meV/atom

***

No. 7
Density functional theory data (PBE-GGA) for Ce4In5Sn2 after structural relaxation.

Structure (POSCAR):
```
Ce4In5Sn2
1.0
8.280 0.000 0.000
0.000 3.349 0.000
-0.800 0.000 10.729
Ce In Sn
4 5 2
direct
0.165 0.000 0.388
0.284 0.000 0.945
0.716 0.000 0.055
0.835 0.000 0.612
0.203 0.500 0.663
0.439 0.500 0.210
0.500 0.500 0.500
0.561 0.500 0.790
0.797 0.500 0.337
0.057 0.500 0.137
0.943 0.500 0.863
```

Results
* volume: 297.5 Å³ per cell
* space group: No. 10
* energy: -4.509 eV per atom

***

No. 8
Density functional theory data (PBE-GGA) for Ce2InSn3 after structural relaxation.

Structure (POSCAR):
```
Ce2InSn3
1.0
4.475 0.000 0.000
0.000 4.475 0.000
0.000 0.000 8.464
Ce In Sn
2 1 3
direct
0.000 0.500 0.189
0.500 0.000 0.811
0.000 0.000 0.500
0.000 0.500 0.815
0.500 0.000 0.185
0.500 0.500 0.500
```

Results
* volume: 169.5 Å³ per cell
* space group: No. 115
* energy: -4.831 eV per atom
* offset from the most stable computed form: 166.2 meV/atom

***

Number 1: mass density 7.31 g cm⁻³, formation energy from the elements -509 meV per atom, density of states at the Fermi level 12.8 states/eV/f.u.. Number 2: mass density 7.23 g cm⁻³, formation energy from the elements -470 meV per atom, density of states at the Fermi level 9.2 states/eV/f.u.. Number 3: mass density 7.64 g cm⁻³, formation energy from the elements -477 meV per atom, density of states at the Fermi level 11.2 states/eV/f.u.. Number 4: mass density 7.52 g cm⁻³, formation energy from the elements -304 meV per atom, density of states at the Fermi level 7.6 states/eV/f.u.. Number 5: mass density 7.67 g cm⁻³, formation energy from the elements -378 meV per atom, density of states at the Fermi level 23.1 states/eV/f.u.. Number 6: mass density 6.08 g cm⁻³, formation energy from the elements 100 meV per atom, density of states at the Fermi level 16.6 states/eV/f.u.. Number 7: mass density 7.66 g cm⁻³, formation energy from the elements -379 meV per atom, density of states at the Fermi level 24.8 states/eV/f.u.. Number 8: mass density 7.36 g cm⁻³, formation energy from the elements -395 meV per atom, density of states at the Fermi level 11.6 states/eV/f.u..